Entry 1:
Zr5TiIn4: relaxed, PBE-GGA.

Cell lengths 3.131, 3.131, 22.306 Å; angles 90.00, 90.00, 90.00 degrees
Sites, in units of the cell vectors:
In (0.000, 0.000, 0.600)
In (0.000, 0.000, 0.802)
In (0.000, 0.000, 0.198)
In (0.000, 0.000, 0.400)
Ti (0.000, 0.000, 0.000)
Zr (0.500, 0.500, 0.299)
Zr (0.500, 0.500, 0.906)
Zr (0.500, 0.500, 0.094)
Zr (0.500, 0.500, 0.500)
Zr (0.500, 0.500, 0.701)

Summary:
Space group = No. 123
Formation energy from the elements = -0.245 eV/atom



Entry 2:
Ba2CdTe: relaxed, PBE-GGA.

Cell lengths 7.349, 7.349, 7.349 Å; angles 140.27, 140.27, 57.44 degrees
Sites, in units of the cell vectors:
Ba (0.250, 0.750, 0.500)
Ba (0.000, 0.000, 0.000)
Cd (0.500, 0.500, 0.000)
Te (0.750, 0.250, 0.500)

Summary:
Space group = No. 119
Formation energy (no corrections) = -75.2 kJ per mole of atoms



Entry 3:
LiUGa2Pt4: relaxed, PBE-GGA.

Cell lengths 4.272, 4.272, 8.720 Å; angles 75.82, 75.82, 60.00 degrees
Last column: magnetic moment on the atom in μB.
Sites, in units of the cell vectors:
Pt (0.132, 0.132, 0.604)  -0.03
Pt (0.397, 0.397, 0.809)  -0.06
Pt (0.603, 0.603, 0.191)  -0.06
Pt (0.868, 0.868, 0.396)  -0.03
U (0.000, 0.000, 0.000)  1.66
Ga (0.762, 0.762, 0.714)  0.00
Ga (0.238, 0.238, 0.286)  0.00
Li (0.500, 0.500, 0.500)  0.00

Summary:
Space group = No. 166
Formation energy from the elements = -0.711 eV/atom



Entry 4:
Rb3Np3FeSe8: relaxed, PBE-GGA.

Cell lengths 8.241, 8.243, 9.459 Å; angles 115.87, 90.00, 119.99 degrees
Last column: magnetic moment on the atom in μB.
Sites, in units of the cell vectors:
Rb (0.000, 0.000, 0.000)  0.00
Rb (0.500, 0.500, 0.000)  0.00
Rb (0.000, 0.500, 0.000)  0.00
Se (0.267, 0.535, 0.303)  0.09
Se (0.222, 0.444, 0.684)  0.15
Se (0.741, 0.962, 0.684)  0.15
Se (0.779, 0.038, 0.316)  0.15
Se (0.778, 0.556, 0.316)  0.15
Se (0.259, 0.038, 0.316)  0.15
Se (0.733, 0.465, 0.697)  0.09
Se (0.221, 0.962, 0.684)  0.15
Np (0.500, 0.000, 0.500)  -3.58
Np (0.500, 0.500, 0.500)  -3.58
Np (0.000, 0.500, 0.500)  -3.58
Fe (0.000, 0.000, 0.500)  3.46

Summary:
Space group = No. 166
Formation energy (no corrections) = -99.8 kJ per mole of atoms



Entry 5:
Pm2HgAs: relaxed, PBE-GGA.

Cell lengths 4.139, 4.139, 8.177 Å; angles 75.34, 75.34, 60.00 degrees
Sites, in units of the cell vectors:
Pm (0.072, 0.072, 0.784)
Pm (0.262, 0.262, 0.215)
Hg (0.499, 0.499, 0.502)
As (0.667, 0.667, 0.998)

Summary:
Space group = No. 160
Formation energy from the elements = -0.900 eV/atom



Entry 6:
Ba2GaAg2: relaxed, PBE-GGA.

Cell lengths 6.504, 6.504, 6.104 Å; angles 57.81, 57.81, 90.00 degrees
Sites, in units of the cell vectors:
Ga (0.000, 0.000, 0.000)
Ba (0.250, 0.750, 0.500)
Ba (0.750, 0.250, 0.500)
Ag (0.667, 0.667, 0.665)
Ag (0.333, 0.333, 0.335)

Summary:
Space group = No. 139
Formation energy from the elements = -0.143 eV/atom



Entry 7:
Ba2AsRh: relaxed, PBE-GGA.

Cell lengths 8.924, 8.924, 4.511 Å; angles 75.34, 75.34, 29.20 degrees
Sites, in units of the cell vectors:
As (0.157, 0.157, 0.343)
Rh (0.597, 0.597, 0.402)
Ba (0.730, 0.730, 0.770)
Ba (0.016, 0.016, 0.984)

Summary:
Space group = No. 44
Formation energy from the elements = -0.582 eV/atom



Entry 8:
Nb6NiIr: relaxed, PBE-GGA.

Cell lengths 4.652, 4.652, 7.102 Å; angles 70.88, 70.88, 90.00 degrees
Sites, in units of the cell vectors:
Nb (0.622, 0.122, 0.756)
Nb (0.251, 0.251, 0.497)
Nb (0.878, 0.378, 0.244)
Nb (0.749, 0.749, 0.503)
Nb (0.378, 0.878, 0.244)
Nb (0.122, 0.622, 0.756)
Ni (0.500, 0.500, 0.000)
Ir (0.000, 0.000, 0.000)

Summary:
Space group = No. 139
Formation energy from the elements = -0.167 eV/atom